No. 1
Below is crystalline Li3Mn5H12 at its relaxed geometry, with properties calculated at the PBE level.

Computed properties:
As for the space-group type: Ia-3d (230).

abc: 9.228 9.228 9.228
angles: 109.47 109.47 109.47
Fractional coordinates of all 80 atoms:
H 0.957 0.363 0.301
H 0.199 0.543 0.637
H 0.457 0.801 0.863
H 0.344 0.801 0.438
H 0.363 0.957 0.801
H 0.094 0.938 0.137
H 0.062 0.156 0.199
H 0.562 0.699 0.656
H 0.844 0.938 0.301
H 0.301 0.863 0.957
H 0.656 0.457 0.594
H 0.156 0.062 0.699
H 0.562 0.863 0.406
H 0.199 0.656 0.062
H 0.301 0.438 0.844
H 0.906 0.062 0.863
H 0.062 0.906 0.363
H 0.438 0.301 0.344
H 0.957 0.594 0.156
H 0.406 0.043 0.344
H 0.137 0.438 0.094
H 0.699 0.562 0.156
H 0.137 0.699 0.543
H 0.043 0.406 0.844
H 0.344 0.543 0.406
H 0.094 0.156 0.457
H 0.637 0.594 0.938
H 0.594 0.957 0.656
H 0.656 0.199 0.562
H 0.801 0.457 0.363
H 0.801 0.344 0.938
H 0.363 0.406 0.062
H 0.438 0.137 0.594
H 0.863 0.301 0.457
H 0.844 0.906 0.043
H 0.543 0.199 0.137
H 0.938 0.844 0.801
H 0.043 0.637 0.699
H 0.637 0.043 0.199
H 0.406 0.363 0.562
H 0.699 0.137 0.043
H 0.863 0.562 0.906
H 0.938 0.094 0.637
H 0.594 0.637 0.438
H 0.457 0.656 0.094
H 0.906 0.844 0.543
H 0.543 0.344 0.906
H 0.156 0.094 0.957
Mn 0.125 0.375 0.250
Mn 0.875 0.250 0.625
Mn 0.375 0.250 0.125
Mn 0.625 0.750 0.875
Mn 0.000 0.500 0.000
Mn 0.750 0.625 0.375
Mn 0.750 0.125 0.875
Mn 0.250 0.875 0.125
Mn 0.000 0.500 0.500
Mn 0.875 0.625 0.750
Mn 0.625 0.875 0.250
Mn 0.500 0.000 0.500
Mn 0.125 0.750 0.375
Mn 0.250 0.375 0.625
Mn 0.500 0.500 0.000
Mn 0.375 0.125 0.750
Mn 0.000 0.000 0.500
Mn 0.500 0.500 0.500
Mn 0.000 0.000 0.000
Mn 0.500 0.000 0.000
Li 0.625 0.375 0.750
Li 0.375 0.625 0.250
Li 0.125 0.875 0.750
Li 0.875 0.750 0.125
Li 0.875 0.125 0.250
Li 0.750 0.375 0.125
Li 0.750 0.875 0.625
Li 0.250 0.125 0.375
Li 0.375 0.750 0.625
Li 0.125 0.250 0.875
Li 0.625 0.250 0.375
Li 0.250 0.625 0.875

***

No. 2
Below is crystalline LiMnH4 at its relaxed geometry, with properties calculated at the PBE level.

Computed properties:
As for the space-group type: I4_1/amd (141). The energy above the most stable polymorph in this dataset comes out at 0.0000 eV per atom.

abc: 4.285 4.285 4.959
angles: 115.60 115.60 90.00
Fractional coordinates of all 12 atoms:
Li 0.875 0.125 0.250
Li 0.125 0.875 0.750
Mn 0.625 0.375 0.750
Mn 0.375 0.625 0.250
H 0.000 0.715 0.000
H 0.284 0.000 0.500
H 0.500 0.715 0.000
H 0.285 0.500 0.500
H 0.500 0.285 0.000
H 0.715 0.500 0.500
H 0.716 0.000 0.500
H 0.000 0.285 0.000

***

No. 3
Below is crystalline Li3MnH8 at its relaxed geometry, with properties calculated at the PBE level.

Computed properties:
As for the space-group type: I4/mmm (139).

abc: 4.472 4.472 5.033
angles: 116.38 116.38 90.00
Fractional coordinates of all 12 atoms:
H 0.895 0.895 0.215
H 0.320 0.895 0.215
H 0.680 0.680 0.785
H 0.105 0.105 0.785
H 0.320 0.320 0.215
H 0.680 0.105 0.785
H 0.105 0.680 0.785
H 0.895 0.320 0.215
Li 0.500 0.500 0.000
Li 0.750 0.250 0.500
Li 0.250 0.750 0.500
Mn 0.000 0.000 0.000

***

No. 4
Below is crystalline NaLi2MnH6 at its relaxed geometry, with properties calculated at the PBE level.

Computed properties:
As for the space-group type: R3 (146).

abc: 5.216 5.216 5.216
angles: 54.27 54.27 54.27
Fractional coordinates of all 10 atoms:
H 0.682 0.901 0.236
H 0.917 0.384 0.989
H 0.384 0.989 0.917
H 0.901 0.236 0.682
H 0.989 0.917 0.384
H 0.236 0.682 0.901
Li 0.226 0.226 0.226
Li 0.686 0.686 0.686
Mn 0.015 0.015 0.015
Na 0.465 0.465 0.465

***

No. 5
Below is crystalline Na2Li2MnH6 at its relaxed geometry, with properties calculated at the PBE level.

Computed properties:
As for the space-group type: C2/m (12).

abc: 5.428 5.428 4.828
angles: 96.99 96.99 119.77
Fractional coordinates of all 11 atoms:
H 0.964 0.704 0.289
H 0.805 0.805 0.719
H 0.704 0.964 0.289
H 0.195 0.195 0.281
H 0.296 0.036 0.711
H 0.036 0.296 0.711
Li 0.123 0.877 0.000
Li 0.877 0.123 0.000
Na 0.339 0.661 0.500
Na 0.661 0.339 0.500
Mn 0.000 0.000 0.500

***

No. 6
Below is crystalline Na2LiMnH at its relaxed geometry, with properties calculated at the PBE level.

Computed properties:
As for the space-group type: P4/mmm (123).

abc: 5.510 3.453 5.510
angles: 90.00 90.00 90.00
Fractional coordinates of all 5 atoms:
Na 0.000 0.000 0.500
Na 0.500 0.000 0.000
Li 0.000 0.500 0.000
Mn 0.500 0.500 0.500
H 0.000 0.000 0.000

***

Calculated total energy in eV per atom, matching the order above: -4.6344 -4.2007 -3.5934 -3.6188 -3.4209 -3.0199